A geometry-optimized Ba2YOs structure, computed with PBEsol.

Calculated values
Its formation enthalpy at 0 K is 2.9 eV per formula unit. As for the total moment: 0.000 μB per atom. As for the crystal system: tetragonal. For the total DFT energy (no corrections), the calculation gives -5.10 eV/atom. The value obtained for the calculated density is 8315 kg/m3.

CIF file:
```
data_Ba2YOs
_cell_length_a 4.489
_cell_length_b 4.489
_cell_length_c 10.974
_cell_angle_alpha 90.00
_cell_angle_beta 90.00
_cell_angle_gamma 90.00
_symmetry_space_group_name_H-M 'I 4/m m m'
_symmetry_Int_Tables_number 139
_symmetry_space_group_name_Hall '-I 4 2'
loop_
_atom_site_label
_atom_site_type_symbol
_atom_site_fract_x
_atom_site_fract_y
_atom_site_fract_z
Ba1 Ba 0.000 0.500 0.250
Y1 Y 0.000 0.000 0.000
Os1 Os 0.000 0.000 0.500
```

---

A geometry-optimized BaZn2Os structure, computed with PBEsol.

Calculated values
Its formation enthalpy at 0 K is 1.5 eV per formula unit. As for the total moment: 0.000 μB per atom. As for the crystal system: tetragonal. For the total DFT energy (no corrections), the calculation gives -4.00 eV/atom. The value obtained for the calculated density is 8982 kg/m3.

CIF file:
```
data_BaZn2Os
_cell_length_a 3.409
_cell_length_b 3.409
_cell_length_c 7.292
_cell_angle_alpha 90.00
_cell_angle_beta 90.00
_cell_angle_gamma 90.00
_symmetry_space_group_name_H-M 'P 4 m m'
_symmetry_Int_Tables_number 99
loop_
_symmetry_equiv_pos_as_xyz
'x,y,z'
'-y,x,z'
'-x,-y,z'
'y,-x,z'
'-x,y,z'
'y,x,z'
'x,-y,z'
'-y,-x,z'
loop_
_atom_site_label
_atom_site_type_symbol
_atom_site_fract_x
_atom_site_fract_y
_atom_site_fract_z
Ba1 Ba 0.000 0.000 0.000
Zn1 Zn 0.000 0.000 0.427
Zn2 Zn 0.500 0.500 0.650
Os1 Os 0.500 0.500 0.315
```

---

Question: Which of these has the highest total DFT energy (no corrections)?
Answer: BaZn2Os

---

Question: formation enthalpy at 0 K of number 1 (Ba2YOs)?
Answer: 2.9 eV per formula unit